A geometry-optimized Li3Fe3P4O16 structure. Source: Alexandria via LeMat-Bulk, functional GGA+U.

```
Li3Fe3P4O16
1.0
6.1209 0.0000 0.0000
0.0000 11.2904 0.0000
-1.6334 0.0000 8.6078
Li Fe P O
6 6 8 32
direct
0.1000 0.0000 0.1556
0.1680 0.7024 0.4240
0.3577 0.9222 0.5644
0.6423 0.4222 0.4356
0.8320 0.2024 0.5760
0.9000 0.5000 0.8444
0.0727 0.3907 0.2271
0.3823 0.6105 0.8494
0.3862 0.2181 0.7461
0.6138 0.7181 0.2539
0.6177 0.1105 0.1506
0.9273 0.8907 0.7729
0.0742 0.7198 0.0887
0.1283 0.4427 0.5825
0.3611 0.1769 0.3977
0.4606 0.8965 0.8936
0.5394 0.3965 0.1064
0.6389 0.6769 0.6023
0.8717 0.9427 0.4175
0.9258 0.2198 0.9113
0.0218 0.8432 0.0120
0.0864 0.8758 0.4160
0.1070 0.6245 0.9682
0.1163 0.1827 0.8238
0.1420 0.5464 0.7015
0.1429 0.4969 0.4219
0.1453 0.2503 0.3432
0.2400 0.9137 0.7765
0.2907 0.7223 0.2169
0.3375 0.3633 0.6410
0.3406 0.1173 0.5574
0.3606 0.4368 0.1971
0.3698 0.0796 0.2730
0.4237 0.7475 0.5875
0.4667 0.9793 0.0337
0.4909 0.7649 0.9494
0.5091 0.2649 0.0506
0.5333 0.4793 0.9663
0.5763 0.2475 0.4125
0.6302 0.5796 0.7270
0.6394 0.9368 0.8029
0.6594 0.6173 0.4426
0.6625 0.8633 0.3590
0.7093 0.2223 0.7831
0.7600 0.4137 0.2235
0.8547 0.7503 0.6568
0.8571 0.9969 0.5781
0.8580 0.0464 0.2985
0.8837 0.6827 0.1762
0.8930 0.1245 0.0318
0.9136 0.3758 0.5840
0.9782 0.3432 0.9880
```

## Properties
spin magnetization	14.9	μB/f.u.
VASP energy	-353.96	eV for the cell shown
SG	P2_1 (4)